Record 1
VASP calculation (PBEsol) on a relaxed structure of Hf3InRu.

E_form in eV per atom: 0.25
E in eV for the cell shown: -43.41
M_tot in μB per cell: 0.0

abc: 4.8972 4.8972 4.8972
angles: 90.00 90.00 90.00
Closest atoms and distances in Å follow each position.
Fractional positions:
1 Hf 0.0000 0.0000 0.5000  2 Ru 2.45
2 Hf 0.0000 0.5000 0.0000  2 Ru 2.45
3 Hf 0.5000 0.0000 0.0000  2 Ru 2.45
4 In 0.5000 0.5000 0.5000  12 Hf 3.46
5 Ru 0.0000 0.0000 0.0000  6 Hf 2.45

Record 2
VASP calculation (PBEsol) on a relaxed structure of HfIn3Ru.

E_form in eV per atom: 0.63
E in eV for the cell shown: -26.50
M_tot in μB per cell: 0.0

abc: 4.9741 4.9741 4.9741
angles: 90.00 90.00 90.00
Closest atoms and distances in Å follow each position.
Fractional positions:
1 Hf 0.0000 0.0000 0.0000  12 In 3.52
2 In 0.0000 0.5000 0.5000  2 Ru 2.49
3 In 0.5000 0.0000 0.5000  2 Ru 2.49
4 In 0.5000 0.5000 0.0000  2 Ru 2.49
5 Ru 0.5000 0.5000 0.5000  6 In 2.49

Record 3
VASP calculation (PBEsol) on a relaxed structure of HfInS2.

Energy relative to the elements, uncorrected in meV/atom: -1165
E in eV for the cell shown: -26.91
M_tot in μB per cell: 0.0

abc: 9.0155 9.0155 9.0155
angles: 22.29 22.29 22.29
Closest atoms and distances in Å follow each position.
Fractional positions:
1 Hf 0.0000 0.0000 0.0000  6 S 2.52
2 In 0.5000 0.5000 0.5000  2 S 2.88
3 S 0.3907 0.3907 0.3907  3 Hf 2.52
4 S 0.6093 0.6093 0.6093  3 Hf 2.52

Record 4
VASP calculation (PBEsol) on a relaxed structure of Hf2InS.

Energy relative to the elements, uncorrected in meV/atom: -272
E in eV for the cell shown: -29.46
M_tot in μB per cell: 0.0

abc: 4.7443 4.7443 4.7443
angles: 60.00 60.00 60.00
Closest atoms and distances in Å follow each position.
Fractional positions:
1 Hf 0.2500 0.2500 0.2500  4 S 2.91, 4 In 2.91
2 Hf 0.7500 0.7500 0.7500  4 S 2.91, 4 In 2.91
3 In 0.0000 0.0000 0.0000  8 Hf 2.91
4 S 0.5000 0.5000 0.5000  8 Hf 2.91

Record 5
VASP calculation (PBEsol) on a relaxed structure of HfInSbTe2.

Energy relative to the elements, uncorrected in meV/atom: -57
E in eV for the cell shown: -25.38
M_tot in μB per cell: 0.0

abc: 5.4970 5.4970 5.5073
angles: 90.00 90.00 90.00
Closest atoms and distances in Å follow each position.
Fractional positions:
1 Hf 0.0000 0.0000 0.0000  4 Te 2.75, 2 Sb 2.75
2 In 0.5000 0.5000 0.5000  4 Sb 3.89, 8 Te 3.89
3 Sb 0.0000 0.0000 0.5000  2 Hf 2.75
4 Te 0.0000 0.5000 0.0000  2 Hf 2.75
5 Te 0.5000 0.0000 0.0000  2 Hf 2.75

Record 6
VASP calculation (PBEsol) on a relaxed structure of HfScIn2.

E_form in eV per atom: -0.23
E in eV for the cell shown: -24.00
M_tot in μB per cell: 0.0

abc: 4.9296 4.9296 4.9296
angles: 60.00 60.00 60.00
Closest atoms and distances in Å follow each position.
Fractional positions:
1 Hf 0.0000 0.0000 0.0000  8 In 3.02
2 Sc 0.5000 0.5000 0.5000  8 In 3.02
3 In 0.2500 0.2500 0.2500  4 Hf 3.02, 4 Sc 3.02
4 In 0.7500 0.7500 0.7500  4 Hf 3.02, 4 Sc 3.02

Record 7
VASP calculation (PBEsol) on a relaxed structure of HfIn3Se.

Energy relative to the elements, uncorrected in meV/atom: 802
E in eV for the cell shown: -19.29
M_tot in μB per cell: 0.0

abc: 5.1886 5.1886 5.1886
angles: 90.00 90.00 90.00
Closest atoms and distances in Å follow each position.
Fractional positions:
1 Hf 0.0000 0.0000 0.0000  12 In 3.67
2 In 0.0000 0.5000 0.5000  2 Se 2.59
3 In 0.5000 0.0000 0.5000  2 Se 2.59
4 In 0.5000 0.5000 0.0000  2 Se 2.59
5 Se 0.5000 0.5000 0.5000  6 In 2.59

Record 8
VASP calculation (PBEsol) on a relaxed structure of HfIn3Si.

Energy relative to the elements, uncorrected in meV/atom: 1063
E in eV for the cell shown: -19.88
M_tot in μB per cell: 0.0

abc: 5.4122 5.4122 5.4122
angles: 90.00 90.00 90.00
Closest atoms and distances in Å follow each position.
Fractional positions:
1 Hf 0.0000 0.0000 0.0000  6 In 2.71
2 In 0.0000 0.0000 0.5000  2 Hf 2.71
3 In 0.0000 0.5000 0.0000  2 Hf 2.71
4 In 0.5000 0.0000 0.0000  2 Hf 2.71
5 Si 0.5000 0.5000 0.5000  12 In 3.83

- Look up the E of the second one.
  -26.50 eV for the cell shown

What did the third record say?
VASP calculation (PBEsol) on a relaxed structure of HfInS2.

Energy relative to the elements, uncorrected in meV/atom: -1165
E in eV for the cell shown: -26.91
M_tot in μB per cell: 0.0

abc: 9.0155 9.0155 9.0155
angles: 22.29 22.29 22.29
Closest atoms and distances in Å follow each position.
Fractional positions:
1 Hf 0.0000 0.0000 0.0000  6 S 2.52
2 In 0.5000 0.5000 0.5000  2 S 2.88
3 S 0.3907 0.3907 0.3907  3 Hf 2.52
4 S 0.6093 0.6093 0.6093  3 Hf 2.52

- Among the records above, which one has the highest E?
  HfIn3Se

Copy entry 4 word for word.
VASP calculation (PBEsol) on a relaxed structure of Hf2InS.

Energy relative to the elements, uncorrected in meV/atom: -272
E in eV for the cell shown: -29.46
M_tot in μB per cell: 0.0

abc: 4.7443 4.7443 4.7443
angles: 60.00 60.00 60.00
Closest atoms and distances in Å follow each position.
Fractional positions:
1 Hf 0.2500 0.2500 0.2500  4 S 2.91, 4 In 2.91
2 Hf 0.7500 0.7500 0.7500  4 S 2.91, 4 In 2.91
3 In 0.0000 0.0000 0.0000  8 Hf 2.91
4 S 0.5000 0.5000 0.5000  8 Hf 2.91